## TaAg2Au (meta-GGA SCAN)

Data for a PBEsol-optimized structure of TaAg2Au.

Output
Calculated formation energy   0.20 eV/atom
Symmetry   F-43m
Size of the total moment   0.0 μB per formula unit

Unit cell a=6.438 b=6.438 c=6.438 alpha=90.00 beta=90.00 gamma=90.00
Positions (direct):
Ta  0.000  0.000  0.000
Ta  0.000  0.500  0.500
Ta  0.500  0.000  0.500
Ta  0.500  0.500  0.000
Ag  0.000  0.000  0.500
Ag  0.000  0.500  0.000
Ag  0.250  0.250  0.250
Ag  0.250  0.750  0.750
Ag  0.500  0.000  0.000
Ag  0.500  0.500  0.500
Ag  0.750  0.250  0.750
Ag  0.750  0.750  0.250
Au  0.250  0.250  0.750
Au  0.250  0.750  0.250
Au  0.750  0.250  0.250
Au  0.750  0.750  0.750